1.
VASP calculation (GGA-PBE) on a relaxed Ti8Co2Ir crystal.

Structure (POSCAR):
```
Ti8Co2Ir
1.0
3.503 -5.860 0.000
3.503 5.860 0.000
-1.591 0.000 4.269
Ti Co Ir
8 2 1
Direct
0.092 0.329 0.584
0.223 0.777 0.000
0.329 0.092 0.584
0.385 0.385 0.183
0.615 0.615 0.817
0.671 0.908 0.416
0.777 0.223 0.000
0.908 0.671 0.416
0.300 0.700 0.500
0.700 0.300 0.500
0.000 0.000 0.000
```

Properties
Symmetry = C2/m
Crystal system = monoclinic
Density of states at the Fermi level = 14.97 states/eV/f.u.
E_form = -2.4 eV/f.u.

2.
VASP calculation (GGA-PBE) on a relaxed TiCo4Ir crystal.

Structure (POSCAR):
```
TiCo4Ir
1.0
0.000 3.328 3.328
3.328 0.000 3.328
3.328 3.328 0.000
Ti Co Ir
1 4 1
Direct
0.000 0.000 0.000
0.126 0.625 0.625
0.625 0.126 0.625
0.625 0.625 0.126
0.625 0.625 0.625
0.250 0.250 0.250
```

Properties
Symmetry = F-43m
Crystal system = cubic
Energy above the most stable polymorph in this dataset = 0.0 kJ per mole of atoms
Density of states at the Fermi level = 6.07 states/eV/f.u.
E_form = -1.4 eV/f.u.